# LaEr3Ru4 | Alexandria via LeMat-Bulk | PBE | relaxed
data_LaEr3Ru4
_chemical_formula_sum 'La3 Er9 Ru12'
_cell_length_a 4.8114
_cell_length_b 4.8114
_cell_length_c 23.7535
_cell_angle_alpha 90.00
_cell_angle_beta 90.00
_cell_angle_gamma 120.00
_symmetry_space_group_name_H-M 'R -3 m'
_symmetry_Int_Tables_number 166
_symmetry_space_group_name_Hall '-R 3 2"'
loop_
_atom_site_label
_atom_site_type_symbol
_atom_site_fract_x
_atom_site_fract_y
_atom_site_fract_z
La1 La 0.0000 0.0000 0.0000
Er1 Er 0.0000 0.0000 0.2467
Er2 Er 0.0000 0.0000 0.5000
Ru1 Ru 0.0000 0.0000 0.1259
Ru2 Ru 0.0000 0.0000 0.3756
# **N(E_F)**: 5.55 states/eV/f.u.
# **DFT total energy**: -7.277 eV per atom
# **Calculated density**: 10.93 g/cm³